1.
TaNbInC, relaxed, DFT PBE-GGA; raw total energy = -8.88 eV/atom; polymorph energy (0 for the lowest one) = 0.0 meV per atom; calculated volume = 15.925 A^3/atom
1.0
3.187 0.000 0.000
-1.593 2.760 0.000
0.000 0.000 14.483
Ta Nb In C
2 2 2 2
Direct
0.000 0.000 0.167
0.000 0.000 0.833
0.333 0.667 0.332
0.333 0.667 0.668
0.000 0.000 0.500
0.333 0.667 0.000
0.667 0.333 0.248
0.667 0.333 0.752

=====

2.
Ta2Nb4In3C3, relaxed, DFT PBE-GGA; raw total energy = -8.74 eV/atom; calculated volume = 15.970 A^3/atom
1.0
4.787 -2.764 0.000
4.787 2.764 0.000
-3.195 0.000 14.486
Ta Nb In C
4 8 6 6
Direct
0.027 0.859 0.582
0.141 0.973 0.918
0.859 0.027 0.082
0.973 0.141 0.418
0.194 0.363 0.083
0.308 0.470 0.417
0.363 0.194 0.583
0.470 0.308 0.917
0.530 0.692 0.083
0.637 0.806 0.417
0.692 0.530 0.583
0.806 0.637 0.917
0.083 0.249 0.749
0.249 0.083 0.249
0.415 0.585 0.750
0.585 0.415 0.250
0.751 0.917 0.751
0.917 0.751 0.251
0.000 0.500 0.500
0.164 0.672 0.000
0.328 0.836 0.500
0.500 0.000 0.000
0.672 0.164 0.500
0.836 0.328 0.000

=====

3.
TaNb3In2C2, relaxed, DFT PBE-GGA; raw total energy = -8.66 eV/atom; calculated volume = 15.997 A^3/atom
1.0
3.194 0.000 0.000
-1.597 2.766 0.000
0.000 0.000 14.487
Ta Nb In C
1 3 2 2
Direct
0.000 0.000 0.000
0.000 0.000 0.665
0.333 0.667 0.165
0.333 0.667 0.500
0.000 0.000 0.332
0.333 0.667 0.832
0.667 0.333 0.081
0.667 0.333 0.582

=====

4.
Ta4Nb2In3C3, relaxed, DFT PBE-GGA; raw total energy = -9.02 eV/atom; calculated volume = 15.874 A^3/atom
1.0
4.773 -2.755 0.000
4.773 2.755 0.000
-3.185 0.000 14.485
Ta Nb In C
8 4 6 6
Direct
0.025 0.196 0.082
0.141 0.306 0.418
0.196 0.025 0.582
0.306 0.141 0.918
0.694 0.859 0.082
0.804 0.975 0.418
0.859 0.694 0.582
0.975 0.804 0.918
0.364 0.528 0.084
0.472 0.636 0.416
0.528 0.364 0.584
0.636 0.472 0.916
0.081 0.919 0.250
0.249 0.416 0.749
0.416 0.249 0.249
0.584 0.751 0.751
0.751 0.584 0.251
0.919 0.081 0.750
0.000 0.500 0.000
0.161 0.669 0.500
0.331 0.839 0.000
0.500 0.000 0.500
0.669 0.161 0.000
0.839 0.331 0.500

=====

5.
Nb4InTeC2, relaxed, DFT PBE-GGA; raw total energy = -8.45 eV/atom; calculated volume = 16.226 A^3/atom
1.0
3.302 0.000 0.000
-1.651 2.860 0.000
0.000 0.000 13.748
Nb In Te C
4 1 1 2
Direct
0.000 0.000 0.160
0.000 0.000 0.840
0.333 0.667 0.327
0.333 0.667 0.673
0.000 0.000 0.500
0.333 0.667 0.000
0.667 0.333 0.244
0.667 0.333 0.756

=====

6.
Nb4TlInC2, relaxed, DFT PBE-GGA; raw total energy = -8.33 eV/atom; calculated volume = 16.239 A^3/atom
1.0
3.215 0.000 0.000
-1.608 2.784 0.000
0.000 0.000 14.511
Nb Tl In C
4 1 1 2
Direct
0.000 0.000 0.167
0.000 0.000 0.833
0.667 0.333 0.331
0.667 0.333 0.669
0.000 0.000 0.500
0.667 0.333 0.000
0.333 0.667 0.249
0.333 0.667 0.751

=====

7.
Nb4In3W2C3, relaxed, DFT PBE-GGA; raw total energy = -8.73 eV/atom; calculated volume = 15.638 A^3/atom
1.0
4.771 -2.756 0.000
4.771 2.756 0.000
-3.194 0.000 14.270
Nb In W C
8 6 4 6
Direct
0.030 0.193 0.084
0.137 0.306 0.416
0.193 0.030 0.584
0.306 0.137 0.916
0.694 0.863 0.084
0.807 0.970 0.416
0.863 0.694 0.584
0.970 0.807 0.916
0.095 0.905 0.250
0.261 0.417 0.750
0.417 0.261 0.250
0.583 0.739 0.750
0.739 0.583 0.250
0.905 0.095 0.750
0.357 0.526 0.078
0.474 0.643 0.422
0.526 0.357 0.578
0.643 0.474 0.922
0.000 0.500 0.000
0.173 0.664 0.500
0.336 0.827 0.000
0.500 0.000 0.500
0.664 0.173 0.000
0.827 0.336 0.500

=====

8.
Y4Nb2In3C3, relaxed, DFT PBE-GGA; raw total energy = -7.29 eV/atom; calculated volume = 20.003 A^3/atom
1.0
5.215 -3.029 0.000
5.215 3.029 0.000
-3.687 0.000 15.198
Y Nb In C
8 4 6 6
Direct
0.043 0.189 0.092
0.123 0.301 0.408
0.189 0.043 0.592
0.301 0.123 0.908
0.699 0.877 0.092
0.811 0.957 0.408
0.877 0.699 0.592
0.957 0.811 0.908
0.348 0.524 0.070
0.476 0.652 0.430
0.524 0.348 0.570
0.652 0.476 0.930
0.135 0.865 0.250
0.297 0.419 0.753
0.419 0.297 0.253
0.581 0.703 0.747
0.703 0.581 0.247
0.865 0.135 0.750
0.000 0.500 0.000
0.204 0.648 0.500
0.352 0.796 0.000
0.500 0.000 0.500
0.648 0.204 0.000
0.796 0.352 0.500

=====

9.
Y2Nb4In3C3, relaxed, DFT PBE-GGA; raw total energy = -7.91 eV/atom; calculated volume = 17.778 A^3/atom
1.0
5.049 -2.910 0.000
5.049 2.910 0.000
-3.461 0.000 14.522
Y Nb In C
4 8 6 6
Direct
0.037 0.880 0.607
0.120 0.963 0.893
0.880 0.037 0.107
0.963 0.120 0.393
0.192 0.344 0.073
0.294 0.488 0.427
0.344 0.192 0.573
0.488 0.294 0.927
0.512 0.706 0.073
0.656 0.808 0.427
0.706 0.512 0.573
0.808 0.656 0.927
0.085 0.366 0.753
0.366 0.085 0.253
0.468 0.532 0.250
0.532 0.468 0.750
0.634 0.915 0.747
0.915 0.634 0.247
0.000 0.500 0.500
0.174 0.652 0.000
0.348 0.826 0.500
0.500 0.000 0.000
0.652 0.174 0.500
0.826 0.348 0.000

=====

10.
Nb4ZnInC2, relaxed, DFT PBE-GGA; raw total energy = -8.24 eV/atom; calculated volume = 15.432 A^3/atom
1.0
3.183 0.000 0.000
-1.592 2.757 0.000
0.000 0.000 14.066
Nb Zn In C
4 1 1 2
Direct
0.000 0.000 0.157
0.000 0.000 0.843
0.333 0.667 0.327
0.333 0.667 0.673
0.333 0.667 0.000
0.000 0.000 0.500
0.667 0.333 0.240
0.667 0.333 0.760

=====

11.
Zr4Nb2In3C3, relaxed, DFT PBE-GGA; raw total energy = -8.14 eV/atom; calculated volume = 17.615 A^3/atom
1.0
4.969 -2.872 0.000
4.969 2.872 0.000
-3.326 0.000 14.812
Zr Nb In C
8 4 6 6
Direct
0.033 0.192 0.086
0.134 0.304 0.414
0.192 0.033 0.586
0.304 0.134 0.914
0.696 0.866 0.086
0.808 0.967 0.414
0.866 0.696 0.586
0.967 0.808 0.914
0.355 0.525 0.076
0.475 0.645 0.424
0.525 0.355 0.576
0.645 0.475 0.924
0.104 0.896 0.250
0.268 0.418 0.751
0.418 0.268 0.251
0.582 0.732 0.749
0.732 0.582 0.249
0.896 0.104 0.750
0.000 0.500 0.000
0.174 0.663 0.500
0.337 0.826 0.000
0.500 0.000 0.500
0.663 0.174 0.000
0.826 0.337 0.500

=====

12.
Nd3InC, relaxed, DFT PBE-GGA; raw total energy = -3.69 eV/atom; calculated volume = 38.504 A^3/atom
1.0
5.774 0.000 0.000
0.000 5.774 0.000
0.000 0.000 5.774
Nd In C
3 1 1
Direct
0.000 0.000 0.500
0.000 0.500 0.000
0.500 0.000 0.000
0.000 0.000 0.000
0.500 0.500 0.500

=====

Q: calculated volume of number 2 (Ta2Nb4In3C3)?
A: 15.970 A^3/atom